Density functional theory data (PBE with a Hubbard U) for a relaxed Cs2Fe3PdF12 crystal.

Unit cell a=7.5660 b=7.5660 c=7.5660 alpha=60.20 beta=60.20 gamma=60.20
Sites, in units of the cell vectors:
Cs: 0.1222 0.1222 0.1222
Cs: 0.8778 0.8778 0.8778
Fe: 0.0000 0.5000 0.5000
Fe: 0.5000 0.0000 0.5000
Fe: 0.5000 0.5000 0.0000
Pd: 0.5000 0.5000 0.5000
F: 0.1353 0.5890 0.5890
F: 0.1958 0.1958 0.5793
F: 0.1958 0.5793 0.1958
F: 0.4110 0.4110 0.8647
F: 0.4110 0.8647 0.4110
F: 0.4207 0.8042 0.8042
F: 0.5793 0.1958 0.1958
F: 0.5890 0.1353 0.5890
F: 0.5890 0.5890 0.1353
F: 0.8042 0.4207 0.8042
F: 0.8042 0.8042 0.4207
F: 0.8647 0.4110 0.4110

Results
DOS(E_F) = 4.3 states/eV/f.u.
space-group type = No. 166
total magnetic moment = 16.0 μB/f.u.
electronic total energy = -4.937 eV/atom
mass density = 4.144 Mg/m³